[1]
{"formula": "La7Ni2Hg2", "functional": "PBE-GGA", "state": "relaxed", "magnetic_moment_mub_per_cell": 0.000, "formation_enthalpy_0k_ev_per_atom": -0.22, "crystal_system": "orthorhombic", "space_group": "No. 65", "cell": [[-2.322, 3.191, 5.931], [2.161, -5.713, 3.920], [6.801, 1.730, -1.228]], "species": ["La", "La", "La", "La", "La", "La", "La", "Hg", "Hg", "Ni", "Ni"], "frac_coords": [[0.500, 0.769, 0.500], [0.000, 0.252, 0.500], [0.500, 0.231, 0.500], [0.000, 0.000, 0.000], [0.000, 0.748, 0.500], [0.500, 0.748, 0.000], [0.500, 0.252, 0.000], [0.176, 0.500, 0.176], [0.824, 0.500, 0.824], [0.290, 0.000, 0.710], [0.710, 0.000, 0.290]]}

=====

[2]
{"formula": "AcTb2Y4", "functional": "PBE-GGA", "state": "relaxed", "magnetic_moment_mub_per_cell": 0.000, "formation_enthalpy_0k_ev_per_atom": 0.05, "crystal_system": "triclinic", "space_group": "No. 1", "cell": [[6.915, 0.836, -1.832], [-3.583, 7.339, -3.155], [0.567, -0.352, 8.953]], "species": ["Y", "Y", "Y", "Y", "Y", "Y", "Y", "Y", "Tb", "Tb", "Tb", "Tb", "Ac", "Ac"], "frac_coords": [[0.625, 0.130, 0.602], [0.426, 0.017, 0.909], [0.308, 0.415, 0.037], [0.528, 0.564, 0.773], [0.334, 0.239, 0.316], [0.828, 0.243, 0.317], [0.944, 0.836, 0.183], [0.026, 0.563, 0.777], [0.716, 0.670, 0.431], [0.444, 0.835, 0.172], [0.132, 0.142, 0.607], [0.800, 0.413, 0.033], [0.222, 0.679, 0.452], [0.918, 0.002, 0.892]]}

=====

[3]
{"formula": "Hf2ScSb2", "functional": "PBE-GGA", "state": "relaxed", "magnetic_moment_mub_per_cell": 0.000, "e_form_raw_ev_per_atom": -0.311, "crystal_system": "monoclinic", "space_group": "No. 15", "cell": [[7.405, 0.629, 0.943], [-1.920, 7.180, 0.943], [-2.206, -3.140, 3.834]], "species": ["Sb", "Sb", "Sb", "Sb", "Sc", "Sc", "Hf", "Hf", "Hf", "Hf"], "frac_coords": [[0.637, 0.863, 0.750], [0.191, 0.309, 0.750], [0.363, 0.137, 0.250], [0.809, 0.691, 0.250], [0.085, 0.415, 0.250], [0.915, 0.585, 0.750], [0.602, 0.270, 0.938], [0.770, 0.102, 0.438], [0.398, 0.730, 0.062], [0.230, 0.898, 0.562]]}

=====

Number 1: Fermi-level density of states 14.51 states/eV/f.u.. Number 2: Fermi-level density of states 11.44 states/eV/f.u.. Number 3: Fermi-level density of states 2.62 states/eV/f.u..